An optimized crystal structure of LiLaCoSb. Source: OQMD, functional PBE.

Calculated values
The total energy comes out at -79.95 eV/cell. The magnetic moment comes out at 0.001 μB per atom. As for the symmetry: F-43m (216).

a b c (Å): 6.675 6.675 6.675
angles (deg): 90.00 90.00 90.00
Sites, in units of the cell vectors:
Li1 0.000 0.000 0.000
Li2 0.000 0.500 0.500
Li3 0.500 0.000 0.500
Li4 0.500 0.500 0.000
La1 0.250 0.250 0.250
La2 0.250 0.750 0.750
La3 0.750 0.250 0.750
La4 0.750 0.750 0.250
Co1 0.000 0.000 0.500
Co2 0.000 0.500 0.000
Co3 0.500 0.000 0.000
Co4 0.500 0.500 0.500
Sb1 0.250 0.250 0.750
Sb2 0.250 0.750 0.250
Sb3 0.750 0.250 0.250
Sb4 0.750 0.750 0.750